one | A relaxed structure of NaWF2. Source: the Alexandria database, functional PBE+U.

a b c (Å): 6.0100 6.0100 5.8694
angles (deg): 59.20 59.20 90.00
Closest atoms and distances in Å follow each position.
Fractional positions:
1 Na 0.5000 0.5000 0.0000  4 F 2.29
2 Na 0.2500 0.7500 0.5000  4 F 2.29
3 W 0.0000 0.0000 0.0000  4 F 2.42
4 W 0.7500 0.2500 0.5000  4 F 2.42
5 F 0.6085 0.1250 0.2500  2 Na 2.29, 2 W 2.42
6 F 0.1415 0.6250 0.2500  2 Na 2.29, 2 W 2.42
7 F 0.3750 0.3915 0.7500  2 Na 2.29, 2 W 2.42
8 F 0.8750 0.8585 0.7500  2 Na 2.29, 2 W 2.42

Crystal system ... tetragonal

***

two | A relaxed structure of NaWF2. Source: the Alexandria database, functional PBE+U.

a b c (Å): 4.4176 4.4176 4.4176
angles (deg): 60.00 60.00 60.00
Closest atoms and distances in Å follow each position.
Fractional positions:
1 Na 0.0000 0.0000 0.0000  8 F 2.71
2 W 0.5000 0.5000 0.5000  8 F 2.71
3 F 0.2500 0.2500 0.2500  4 W 2.71, 4 Na 2.71
4 F 0.7500 0.7500 0.7500  4 W 2.71, 4 Na 2.71

Crystal system ... cubic

***

Stability summary: most stable one, least stable two.

***

one | A relaxed structure of NaWF6. Source: the Alexandria database, functional PBE+U.

a b c (Å): 5.3957 5.4765 6.0433
angles (deg): 62.60 62.58 59.68
Closest atoms and distances in Å follow each position.
Fractional positions:
1 Na 0.5000 0.5000 0.5000  6 F 2.29-2.33
2 W 0.0000 0.0000 0.0000  6 F 1.93-1.96
3 F 0.1046 0.3503 0.7747  1 W 1.96
4 F 0.7720 0.1027 0.7793  1 W 1.93
5 F 0.6594 0.2265 0.2265  1 W 1.93
6 F 0.2280 0.8973 0.2207  1 W 1.93
7 F 0.8954 0.6497 0.2253  1 W 1.96
8 F 0.3406 0.7735 0.7735  1 W 1.93

Crystal system ... triclinic

***

two | A relaxed structure of NaWF6. Source: the Alexandria database, functional PBE+U.

a b c (Å): 5.1691 5.1691 5.4396
angles (deg): 96.07 96.07 115.58
Closest atoms and distances in Å follow each position.
Fractional positions:
1 Na 0.0000 0.0000 0.0000  6 F 2.33-2.40
2 W 0.5000 0.5000 0.5000  6 F 1.91-1.96
3 F 0.5495 0.8486 0.7216  1 W 1.96
4 F 0.8486 0.5495 0.7216  1 W 1.96
5 F 0.1514 0.4505 0.2784  1 W 1.96
6 F 0.4505 0.1514 0.2784  1 W 1.96
7 F 0.2636 0.2636 0.7134  1 W 1.91
8 F 0.7364 0.7364 0.2866  1 W 1.91

Crystal system ... monoclinic

***

Stability summary: most stable one, least stable two.

***

one | A relaxed structure of Na2WF. Source: the Alexandria database, functional PBE+U.

a b c (Å): 5.1567 5.1567 5.1567
angles (deg): 60.00 60.00 60.00
Closest atoms and distances in Å follow each position.
Fractional positions:
1 Na 0.2500 0.2500 0.2500  4 W 3.16, 4 F 3.16
2 Na 0.7500 0.7500 0.7500  4 W 3.16, 4 F 3.16
3 W 0.5000 0.5000 0.5000  8 Na 3.16
4 F 0.0000 0.0000 0.0000  8 Na 3.16

Crystal system ... cubic

***

two | A relaxed structure of Na2WF. Source: the Alexandria database, functional PBE+U.

a b c (Å): 6.9041 6.9041 6.4917
angles (deg): 57.88 57.88 90.00
Closest atoms and distances in Å follow each position.
Fractional positions:
1 Na 0.4891 0.1250 0.2500  2 F 2.18
2 Na 0.2609 0.6250 0.2500  2 F 2.18
3 Na 0.3750 0.5109 0.7500  2 F 2.18
4 Na 0.8750 0.7391 0.7500  2 F 2.18
5 W 0.0000 0.0000 0.0000  8 Na 3.35-3.73
6 W 0.7500 0.2500 0.5000  8 Na 3.35-3.73
7 F 0.5000 0.5000 0.0000  4 Na 2.18
8 F 0.2500 0.7500 0.5000  4 Na 2.18

Crystal system ... tetragonal

***

Stability summary: most stable two, least stable one.